Here is a relaxed Ce6GeSe2S3 crystal from Alexandria via LeMat-Bulk. Energies are from PBE-GGA.

a = 7.134 Å, b = 7.134 Å, c = 7.140 Å
α = 99.59°, β = 99.59°, γ = 120.01°
Atoms (fractional coordinates):
Ce1 0.088 0.419 0.764
Ce2 0.244 0.244 0.237
Ce3 0.419 0.088 0.764
Ce4 0.581 0.912 0.236
Ce5 0.756 0.756 0.763
Ce6 0.912 0.581 0.236
Ge1 0.000 0.000 0.500
Se1 0.333 0.667 0.500
Se2 0.667 0.333 0.500
S1 0.166 0.834 0.000
S2 0.500 0.500 0.000
S3 0.834 0.166 0.000

Output
Density ... 6.5 g/cm3
M_tot ... 4.29 μB/cell
Formation energy (no corrections) ... -1.76 eV/atom
Space group ... No. 12
Calculated total energy ... -6.723 eV per atom